1.
! HgBiW2 | OQMD | PBE | optimized geometry; values from VASP
! VASP energy (eV per atom): -6.390
&SYSTEM
  ibrav = 0, nat = 4, ntyp = 3
/
ATOMIC_SPECIES
Hg 200.59 Hg.upf
W 183.84 W.upf
Bi 208.98 Bi.upf
CELL_PARAMETERS angstrom
0.000 3.427 3.427
3.427 0.000 3.427
3.427 3.427 0.000
ATOMIC_POSITIONS crystal
Hg 0.250 0.250 0.250
W 0.750 0.750 0.750
W 0.000 0.000 0.000
Bi 0.500 0.500 0.500

=====

2.
! KMgTcOs | OQMD | PBE | optimized geometry; values from VASP
! Offset from the most stable computed form (eV per atom): 0.093
&SYSTEM
  ibrav = 0, nat = 4, ntyp = 4
/
ATOMIC_SPECIES
Tc 98.00 Tc.upf
Mg 24.30 Mg.upf
K 39.10 K.upf
Os 190.23 Os.upf
CELL_PARAMETERS angstrom
-4.226 -0.681 1.871
-2.201 3.521 2.141
-3.766 1.942 -1.968
ATOMIC_POSITIONS crystal
Tc 0.500 0.500 0.500
Mg 0.750 0.750 0.750
K 0.000 0.000 0.000
Os 0.250 0.250 0.250